The following is a PBE calculation of a relaxed LaSb3Rh crystal, from Alexandria.

Values from the calculation:
For the formation energy from raw total energies, the calculation gives -271 meV/atom.

a = 5.204 Å, b = 5.204 Å, c = 5.204 Å
α = 90.00°, β = 90.00°, γ = 90.00°
Atoms (fractional coordinates):
La 0.000 0.000 0.000
Sb 0.000 0.500 0.500
Sb 0.500 0.000 0.500
Sb 0.500 0.500 0.000
Rh 0.500 0.500 0.500

***

The following is a PBE calculation of a relaxed CsErTl2 crystal, from Alexandria.

Values from the calculation:
The energy above the most stable polymorph in this dataset comes out at 0.00 eV/f.u.

a = 3.899 Å, b = 3.899 Å, c = 9.263 Å
α = 90.00°, β = 90.00°, γ = 90.00°
Atoms (fractional coordinates):
Cs 0.000 0.000 0.000
Er 0.000 0.000 0.500
Tl 0.500 0.500 0.311
Tl 0.500 0.500 0.689